Run i
Below is B2C after structural relaxation, with properties calculated at the PBE-GGA level.

Computed properties:
ρ: 2462 kg/m³
volume: 7.6 Å³ per atom
D(E_F): 3.4 states/eV per cell

a b c (Å): 13.445 2.568 5.435
angles (deg): 90.00 104.75 90.00
Space group Cm (No. 8)
Asymmetric unit:
B 0.000 0.000 0.000 x2
B 0.013 0.000 0.434 x2
B 0.077 0.000 0.786 x2
B 0.162 0.500 0.754 x2
B 0.256 0.500 0.173 x2
B 0.299 0.000 0.693 x2
B 0.398 0.000 0.957 x2
B 0.422 0.000 0.314 x2
C 0.098 0.000 0.268 x2
C 0.165 0.500 0.310 x2
C 0.240 0.500 0.590 x2
C 0.314 0.000 0.144 x2

***

Run ii
Below is B2C after structural relaxation, with properties calculated at the PBE-GGA level.

Computed properties:
ρ: 2446 kg/m³
volume: 7.6 Å³ per atom
D(E_F): 1.4 states/eV per cell

a b c (Å): 4.674 2.740 7.132
angles (deg): 90.00 90.33 90.00
Space group Pm (No. 6)
Asymmetric unit:
B 0.000 0.000 0.000 x1
B 0.042 0.000 0.773 x1
B 0.193 0.500 0.903 x1
B 0.237 0.500 0.667 x1
B 0.443 0.000 0.411 x1
B 0.591 0.500 0.042 x1
B 0.688 0.000 0.790 x1
B 0.944 0.500 0.389 x1
C 0.276 0.500 0.443 x1
C 0.531 0.500 0.815 x1
C 0.712 0.000 0.128 x1
C 0.775 0.000 0.351 x1

***

Most stable: run ii (next structure +238 meV/atom)

***

Run i
Below is Tl2SeBr after structural relaxation, with properties calculated at the PBE-GGA level.

Computed properties:
ρ: 6771 kg/m³
volume: 34.8 Å³ per atom
D(E_F): 8.0 states/eV per cell

a b c (Å): 4.3283 4.3283 25.7426
angles (deg): 90.00 90.00 120.00
Space group R3m (No. 160, hexagonal axes)
Asymmetric unit:
Tl 0.0000 0.0000 0.0000 x3
Tl 0.0000 0.0000 0.2355 x3
Se 0.0000 0.0000 0.7162 x3
Br 0.0000 0.0000 0.5016 x3

***

Run ii
Below is Tl2SeBr after structural relaxation, with properties calculated at the PBE-GGA level.

Computed properties:
ρ: 6948 kg/m³
volume: 33.9 Å³ per atom
D(E_F): 0.9 states/eV per cell

a b c (Å): 15.701 4.133 4.181
angles (deg): 90.00 90.02 90.00
Space group Cm (No. 8)
Asymmetric unit:
Tl 0.000 0.000 0.000 x2
Tl 0.218 0.000 0.499 x2
Se 0.030 0.500 0.500 x2
Br 0.307 0.500 0.999 x2

***

Most stable: run ii (next structure +135 meV/atom)